# Cs2CdF5

A relaxed structure of Cs2CdF5 (GGA-PBE, Alexandria via LeMat-Bulk).

Geometry as CIF:
```
data_Cs2CdF5
_chemical_formula_sum 'Cs2 Cd1 F5'
_space_group_name_H-M_alt 'P 1'
_space_group_IT_number 1
_cell_length_a 4.456
_cell_length_b 6.613
_cell_length_c 6.613
_cell_angle_alpha 90.00
_cell_angle_beta 90.00
_cell_angle_gamma 90.00
loop_
_space_group_symop_operation_xyz
'x,y,z'
loop_
_atom_site_label
_atom_site_type_symbol
_atom_site_fract_x
_atom_site_fract_y
_atom_site_fract_z
F1 F 0.000 0.772 0.228
F2 F 0.000 0.228 0.228
F3 F 0.000 0.228 0.772
F4 F 0.000 0.772 0.772
F5 F 0.500 0.000 0.000
Cs1 Cs 0.500 0.000 0.500
Cs2 Cs 0.500 0.500 0.000
Cd1 Cd 0.000 0.000 0.000
```

Summary:
SG ... P4/mmm, No. 123
Total moment ... 1.01 μB/cell
Raw formation energy ... -2.239 eV per atom
Calculated volume ... 24.36 A^3/atom

---

# Cs2CdF

A relaxed structure of Cs2CdF (GGA-PBE, Alexandria via LeMat-Bulk).

Geometry as CIF:
```
data_Cs2CdF
_chemical_formula_sum 'Cs2 Cd1 F1'
_space_group_name_H-M_alt 'P 1'
_space_group_IT_number 1
_cell_length_a 4.444
_cell_length_b 4.444
_cell_length_c 10.001
_cell_angle_alpha 77.16
_cell_angle_beta 77.16
_cell_angle_gamma 60.00
loop_
_space_group_symop_operation_xyz
'x,y,z'
loop_
_atom_site_label
_atom_site_type_symbol
_atom_site_fract_x
_atom_site_fract_y
_atom_site_fract_z
F1 F 0.000 0.000 0.000
Cs1 Cs 0.274 0.274 0.179
Cs2 Cs 0.726 0.726 0.821
Cd1 Cd 0.500 0.500 0.500
```

Summary:
SG ... R-3m, No. 166
Energy above the most stable polymorph in this dataset ... 0.007 eV/atom
Total moment ... 0.00 μB/cell
Raw formation energy ... -1.222 eV per atom
Calculated volume ... 41.34 A^3/atom

---

# CsCdF3

A relaxed structure of CsCdF3 (GGA-PBE, Alexandria via LeMat-Bulk).

Geometry as CIF:
```
data_CsCdF3
_chemical_formula_sum 'Cs2 Cd2 F6'
_space_group_name_H-M_alt 'P 1'
_space_group_IT_number 1
_cell_length_a 7.233
_cell_length_b 7.233
_cell_length_c 7.233
_cell_angle_alpha 50.96
_cell_angle_beta 50.96
_cell_angle_gamma 50.96
loop_
_space_group_symop_operation_xyz
'x,y,z'
loop_
_atom_site_label
_atom_site_type_symbol
_atom_site_fract_x
_atom_site_fract_y
_atom_site_fract_z
F1 F 0.436 0.921 0.921
F2 F 0.921 0.436 0.921
F3 F 0.079 0.564 0.079
F4 F 0.564 0.079 0.079
F5 F 0.921 0.921 0.436
F6 F 0.079 0.079 0.564
Cd1 Cd 0.161 0.161 0.161
Cd2 Cd 0.839 0.839 0.839
Cs1 Cs 0.376 0.376 0.376
Cs2 Cs 0.624 0.624 0.624
```

Summary:
SG ... R-3m, No. 166
Total moment ... 0.00 μB/cell
Raw formation energy ... -2.417 eV per atom
Calculated volume ... 21.05 A^3/atom

---

# CsCdF3

A relaxed structure of CsCdF3 (GGA-PBE, Alexandria via LeMat-Bulk).

Geometry as CIF:
```
data_CsCdF3
_chemical_formula_sum 'Cs1 Cd1 F3'
_space_group_name_H-M_alt 'P 1'
_space_group_IT_number 1
_cell_length_a 3.926
_cell_length_b 3.926
_cell_length_c 7.225
_cell_angle_alpha 90.00
_cell_angle_beta 90.00
_cell_angle_gamma 90.00
loop_
_space_group_symop_operation_xyz
'x,y,z'
loop_
_atom_site_label
_atom_site_type_symbol
_atom_site_fract_x
_atom_site_fract_y
_atom_site_fract_z
Cd1 Cd 0.500 0.500 0.562
Cs1 Cs 0.000 0.000 0.130
F1 F 0.500 0.000 0.413
F2 F 0.000 0.500 0.413
F3 F 0.000 0.000 0.745
```

Summary:
SG ... P4mm, No. 99
Total moment ... 0.00 μB/cell
Raw formation energy ... -2.076 eV per atom
Calculated volume ... 22.27 A^3/atom

---

# Cs3CdF5

A relaxed structure of Cs3CdF5 (GGA-PBE, Alexandria via LeMat-Bulk).

Geometry as CIF:
```
data_Cs3CdF5
_chemical_formula_sum 'Cs6 Cd2 F10'
_space_group_name_H-M_alt 'P 1'
_space_group_IT_number 1
_cell_length_a 8.093
_cell_length_b 8.093
_cell_length_c 8.949
_cell_angle_alpha 116.88
_cell_angle_beta 116.88
_cell_angle_gamma 90.00
loop_
_space_group_symop_operation_xyz
'x,y,z'
loop_
_atom_site_label
_atom_site_type_symbol
_atom_site_fract_x
_atom_site_fract_y
_atom_site_fract_z
Cs1 Cs 0.677 0.177 0.000
Cs2 Cs 0.250 0.250 0.500
Cs3 Cs 0.177 0.323 0.000
Cs4 Cs 0.323 0.823 0.000
Cs5 Cs 0.750 0.750 0.500
Cs6 Cs 0.823 0.677 0.000
F1 F 0.201 0.993 0.694
F2 F 0.507 0.299 0.306
F3 F 0.701 0.201 0.694
F4 F 0.799 0.007 0.306
F5 F 0.493 0.701 0.694
F6 F 0.500 0.500 0.000
F7 F 0.007 0.507 0.306
F8 F 0.299 0.799 0.306
F9 F 0.993 0.493 0.694
F10 F 0.000 0.000 0.000
Cd1 Cd 0.750 0.250 0.500
Cd2 Cd 0.250 0.750 0.500
```

Summary:
SG ... I4/mcm, No. 140
Total moment ... 0.13 μB/cell
Raw formation energy ... -2.497 eV per atom
Calculated volume ... 25.04 A^3/atom

---

# Cs3CdF

A relaxed structure of Cs3CdF (GGA-PBE, Alexandria via LeMat-Bulk).

Geometry as CIF:
```
data_Cs3CdF
_chemical_formula_sum 'Cs3 Cd1 F1'
_space_group_name_H-M_alt 'P 1'
_space_group_IT_number 1
_cell_length_a 6.164
_cell_length_b 6.164
_cell_length_c 6.164
_cell_angle_alpha 90.00
_cell_angle_beta 90.00
_cell_angle_gamma 90.00
loop_
_space_group_symop_operation_xyz
'x,y,z'
loop_
_atom_site_label
_atom_site_type_symbol
_atom_site_fract_x
_atom_site_fract_y
_atom_site_fract_z
Cd1 Cd 0.500 0.500 0.500
Cs1 Cs 0.500 0.000 0.000
Cs2 Cs 0.000 0.500 0.000
Cs3 Cs 0.000 0.000 0.500
F1 F 0.000 0.000 0.000
```

Summary:
SG ... Pm-3m, No. 221
Energy above the most stable polymorph in this dataset ... 0.000 eV/atom
Total moment ... 0.00 μB/cell
Raw formation energy ... -1.024 eV per atom
Calculated volume ... 46.85 A^3/atom

---

# CsCd2F5

A relaxed structure of CsCd2F5 (GGA-PBE, Alexandria via LeMat-Bulk).

Geometry as CIF:
```
data_CsCd2F5
_chemical_formula_sum 'Cs1 Cd2 F5'
_space_group_name_H-M_alt 'P 1'
_space_group_IT_number 1
_cell_length_a 3.681
_cell_length_b 7.088
_cell_length_c 7.088
_cell_angle_alpha 49.30
_cell_angle_beta 74.95
_cell_angle_gamma 74.95
loop_
_space_group_symop_operation_xyz
'x,y,z'
loop_
_atom_site_label
_atom_site_type_symbol
_atom_site_fract_x
_atom_site_fract_y
_atom_site_fract_z
Cd1 Cd 0.184 0.316 0.316
Cd2 Cd 0.816 0.684 0.684
F1 F 0.000 0.500 0.500
F2 F 0.333 0.420 0.915
F3 F 0.667 0.580 0.085
F4 F 0.333 0.915 0.420
F5 F 0.667 0.085 0.580
Cs1 Cs 0.000 0.000 0.000
```

Summary:
SG ... Immm, No. 71
Total moment ... 0.10 μB/cell
Raw formation energy ... -2.320 eV per atom
Calculated volume ... 16.80 A^3/atom

---

# CsCdF3

A relaxed structure of CsCdF3 (GGA-PBE, Alexandria via LeMat-Bulk).

Geometry as CIF:
```
data_CsCdF3
_chemical_formula_sum 'Cs4 Cd4 F12'
_space_group_name_H-M_alt 'P 1'
_space_group_IT_number 1
_cell_length_a 15.103
_cell_length_b 8.680
_cell_length_c 8.680
_cell_angle_alpha 105.34
_cell_angle_beta 136.64
_cell_angle_gamma 43.36
loop_
_space_group_symop_operation_xyz
'x,y,z'
loop_
_atom_site_label
_atom_site_type_symbol
_atom_site_fract_x
_atom_site_fract_y
_atom_site_fract_z
Cs1 Cs 0.250 0.881 0.381
Cs2 Cs 0.250 0.382 0.882
Cs3 Cs 0.750 0.618 0.118
Cs4 Cs 0.750 0.119 0.619
F1 F 0.901 0.790 0.293
F2 F 0.099 0.009 0.907
F3 F 0.401 0.407 0.509
F4 F 0.001 0.402 0.098
F5 F 0.599 0.593 0.491
F6 F 0.901 0.991 0.093
F7 F 0.599 0.793 0.290
F8 F 0.501 0.402 0.098
F9 F 0.499 0.598 0.902
F10 F 0.999 0.598 0.902
F11 F 0.099 0.210 0.707
F12 F 0.401 0.207 0.710
Cd1 Cd 0.615 0.221 0.951
Cd2 Cd 0.885 0.451 0.721
Cd3 Cd 0.385 0.779 0.049
Cd4 Cd 0.115 0.549 0.279
```

Summary:
SG ... C2/c, No. 15
Total moment ... 0.00 μB/cell
Raw formation energy ... -2.391 eV per atom
Calculated volume ... 22.22 A^3/atom

---

# CsCdF3

A relaxed structure of CsCdF3 (GGA-PBE, Alexandria via LeMat-Bulk).

Geometry as CIF:
```
data_CsCdF3
_chemical_formula_sum 'Cs4 Cd4 F12'
_space_group_name_H-M_alt 'P 1'
_space_group_IT_number 1
_cell_length_a 8.444
_cell_length_b 8.444
_cell_length_c 8.444
_cell_angle_alpha 60.00
_cell_angle_beta 60.00
_cell_angle_gamma 60.00
loop_
_space_group_symop_operation_xyz
'x,y,z'
loop_
_atom_site_label
_atom_site_type_symbol
_atom_site_fract_x
_atom_site_fract_y
_atom_site_fract_z
Cs1 Cs 0.625 0.625 0.625
Cs2 Cs 0.625 0.625 0.125
Cs3 Cs 0.125 0.625 0.625
Cs4 Cs 0.625 0.125 0.625
F1 F 0.449 0.051 0.051
F2 F 0.051 0.051 0.449
F3 F 0.199 0.801 0.801
F4 F 0.801 0.199 0.801
F5 F 0.449 0.449 0.051
F6 F 0.199 0.199 0.801
F7 F 0.199 0.801 0.199
F8 F 0.801 0.801 0.199
F9 F 0.449 0.051 0.449
F10 F 0.051 0.449 0.449
F11 F 0.051 0.449 0.051
F12 F 0.801 0.199 0.199
Cd1 Cd 0.125 0.125 0.125
Cd2 Cd 0.125 0.125 0.625
Cd3 Cd 0.125 0.625 0.125
Cd4 Cd 0.625 0.125 0.125
```

Summary:
SG ... Fd-3m, No. 227
Total moment ... 0.00 μB/cell
Raw formation energy ... -2.390 eV per atom
Calculated volume ... 21.28 A^3/atom

---

# Cs3CdF

A relaxed structure of Cs3CdF (GGA-PBE, Alexandria via LeMat-Bulk).

Geometry as CIF:
```
data_Cs3CdF
_chemical_formula_sum 'Cs6 Cd2 F2'
_space_group_name_H-M_alt 'P 1'
_space_group_IT_number 1
_cell_length_a 9.599
_cell_length_b 9.599
_cell_length_c 6.754
_cell_angle_alpha 89.47
_cell_angle_beta 89.47
_cell_angle_gamma 76.87
loop_
_space_group_symop_operation_xyz
'x,y,z'
loop_
_atom_site_label
_atom_site_type_symbol
_atom_site_fract_x
_atom_site_fract_y
_atom_site_fract_z
F1 F 0.342 0.658 0.000
F2 F 0.658 0.342 0.000
Cs1 Cs 0.092 0.683 0.226
Cs2 Cs 0.317 0.908 0.774
Cs3 Cs 0.683 0.092 0.226
Cs4 Cs 0.395 0.395 0.795
Cs5 Cs 0.605 0.605 0.205
Cs6 Cs 0.908 0.317 0.774
Cd1 Cd 0.796 0.796 0.737
Cd2 Cd 0.204 0.204 0.263
```

Summary:
SG ... C2/m, No. 12
Energy above the most stable polymorph in this dataset ... 0.016 eV/atom
Total moment ... 0.00 μB/cell
Raw formation energy ... -1.008 eV per atom
Calculated volume ... 60.60 A^3/atom

---

# Cs12Cd3F5

A relaxed structure of Cs12Cd3F5 (GGA-PBE, Alexandria via LeMat-Bulk).

Geometry as CIF:
```
data_Cs12Cd3F5
_chemical_formula_sum 'Cs48 Cd12 F20'
_space_group_name_H-M_alt 'P 1'
_space_group_IT_number 1
_cell_length_a 17.444
_cell_length_b 17.444
_cell_length_c 17.444
_cell_angle_alpha 109.47
_cell_angle_beta 109.47
_cell_angle_gamma 109.47
loop_
_space_group_symop_operation_xyz
'x,y,z'
loop_
_atom_site_label
_atom_site_type_symbol
_atom_site_fract_x
_atom_site_fract_y
_atom_site_fract_z
Cs1 Cs 0.316 0.809 0.420
Cs2 Cs 0.993 0.604 0.184
Cs3 Cs 0.389 0.993 0.809
Cs4 Cs 0.184 0.104 0.993
Cs5 Cs 0.007 0.396 0.816
Cs6 Cs 0.316 0.507 0.396
Cs7 Cs 0.007 0.611 0.691
Cs8 Cs 0.896 0.080 0.889
Cs9 Cs 0.493 0.684 0.104
Cs10 Cs 0.580 0.691 0.684
Cs11 Cs 0.507 0.191 0.111
Cs12 Cs 0.611 0.604 0.920
Cs13 Cs 0.104 0.184 0.493
Cs14 Cs 0.809 0.493 0.389
Cs15 Cs 0.309 0.420 0.816
Cs16 Cs 0.604 0.611 0.420
Cs17 Cs 0.396 0.007 0.316
Cs18 Cs 0.111 0.420 0.104
Cs19 Cs 0.184 0.080 0.691
Cs20 Cs 0.993 0.389 0.309
Cs21 Cs 0.420 0.309 0.316
Cs22 Cs 0.691 0.111 0.007
Cs23 Cs 0.611 0.007 0.191
Cs24 Cs 0.691 0.580 0.184
Cs25 Cs 0.420 0.111 0.604
Cs26 Cs 0.191 0.507 0.611
Cs27 Cs 0.920 0.104 0.611
Cs28 Cs 0.684 0.493 0.604
Cs29 Cs 0.889 0.309 0.493
Cs30 Cs 0.191 0.684 0.080
Cs31 Cs 0.309 0.889 0.993
Cs32 Cs 0.816 0.920 0.309
Cs33 Cs 0.104 0.920 0.111
Cs34 Cs 0.389 0.396 0.080
Cs35 Cs 0.111 0.691 0.507
Cs36 Cs 0.816 0.896 0.007
Cs37 Cs 0.684 0.191 0.580
Cs38 Cs 0.896 0.816 0.507
Cs39 Cs 0.507 0.316 0.896
Cs40 Cs 0.080 0.184 0.191
Cs41 Cs 0.889 0.580 0.896
Cs42 Cs 0.580 0.889 0.396
Cs43 Cs 0.604 0.993 0.684
Cs44 Cs 0.920 0.816 0.809
Cs45 Cs 0.809 0.316 0.920
Cs46 Cs 0.080 0.896 0.389
Cs47 Cs 0.493 0.809 0.889
Cs48 Cs 0.396 0.389 0.580
F1 F 0.000 0.500 0.000
F2 F 0.000 0.000 0.500
F3 F 0.375 0.125 0.750
F4 F 0.750 0.125 0.875
F5 F 0.500 0.500 0.500
F6 F 0.125 0.750 0.375
F7 F 0.125 0.375 0.250
F8 F 0.375 0.250 0.125
F9 F 0.625 0.875 0.250
F10 F 0.500 0.000 0.000
F11 F 0.500 0.000 0.500
F12 F 0.250 0.375 0.625
F13 F 0.625 0.750 0.875
F14 F 0.875 0.250 0.625
F15 F 0.250 0.875 0.125
F16 F 0.000 0.500 0.500
F17 F 0.000 0.000 0.000
F18 F 0.750 0.625 0.375
F19 F 0.500 0.500 0.000
F20 F 0.875 0.625 0.750
Cd1 Cd 0.750 0.375 0.125
Cd2 Cd 0.875 0.750 0.125
Cd3 Cd 0.250 0.625 0.875
Cd4 Cd 0.125 0.250 0.875
Cd5 Cd 0.875 0.125 0.250
Cd6 Cd 0.625 0.375 0.750
Cd7 Cd 0.250 0.125 0.375
Cd8 Cd 0.750 0.875 0.625
Cd9 Cd 0.625 0.250 0.375
Cd10 Cd 0.125 0.875 0.750
Cd11 Cd 0.375 0.625 0.250
Cd12 Cd 0.375 0.750 0.625
```

Summary:
SG ... Ia-3d, No. 230
Total moment ... 0.08 μB/cell
Raw formation energy ... -1.250 eV per atom
Calculated volume ... 51.08 A^3/atom

---

# CsCdF3

A relaxed structure of CsCdF3 (GGA-PBE, Alexandria via LeMat-Bulk).

Geometry as CIF:
```
data_CsCdF3
_chemical_formula_sum 'Cs1 Cd1 F3'
_space_group_name_H-M_alt 'P 1'
_space_group_IT_number 1
_cell_length_a 3.551
_cell_length_b 7.158
_cell_length_c 7.158
_cell_angle_alpha 113.31
_cell_angle_beta 90.00
_cell_angle_gamma 90.00
loop_
_space_group_symop_operation_xyz
'x,y,z'
loop_
_atom_site_label
_atom_site_type_symbol
_atom_site_fract_x
_atom_site_fract_y
_atom_site_fract_z
Cd1 Cd 0.000 0.417 0.583
F1 F 0.000 0.237 0.763
F2 F 0.500 0.629 0.717
F3 F 0.500 0.283 0.371
Cs1 Cs 0.500 0.061 0.939
```

Summary:
SG ... Amm2, No. 38
Total moment ... 0.00 μB/cell
Raw formation energy ... -2.288 eV per atom
Calculated volume ... 33.41 A^3/atom

---

> Among the records above, which one has the highest raw formation energy?

number 10

---

> What is the formula in the twelfth record?

CsCdF3

---

> What is the formula in the twelfth record?

CsCdF3